1.
# Ac4Al3Hg

Ac4Al3Hg after structural relaxation (GGA-PBE, the Alexandria database).

As for the space group: Pmm2, No. 25. The calculation puts the energy of formation from the pure elements at -0.310 eV per atom. Its total DFT energy (no corrections) is -3.8051 eV per atom. The magnetization is 0.0000 μB/atom.

```
Ac4Al3Hg
1.0
-3.423 -3.000 -1.743
2.946 -3.384 0.038
-3.299 -2.747 11.205
Hg Al Ac
1 3 4
direct
0.500 0.500 0.070 Hg
0.000 0.000 0.436 Al
0.000 0.500 0.563 Al
0.500 0.000 0.931 Al
0.500 0.000 0.642 Ac
0.000 0.000 0.143 Ac
0.500 0.500 0.361 Ac
0.000 0.500 0.854 Ac
```


2.
# Ce3Ni7Ge4

Ce3Ni7Ge4 after structural relaxation (GGA-PBE, the Alexandria database).

As for the space group: C2/m, No. 12. The calculation puts the energy of formation from the pure elements at -0.581 eV per atom. Its total DFT energy (no corrections) is -6.0621 eV per atom. The magnetization is 0.0189 μB/atom.

```
Ce3Ni7Ge4
1.0
3.956 0.000 0.998
1.475 7.406 2.492
0.170 0.088 7.665
Ni Ge Ce
7 4 3
direct
0.497 0.790 0.216 Ni
0.123 0.651 0.103 Ni
0.503 0.210 0.784 Ni
0.000 0.000 0.000 Ni
0.677 0.200 0.447 Ni
0.323 0.800 0.553 Ni
0.877 0.349 0.897 Ni
0.125 0.100 0.651 Ge
0.670 0.477 0.183 Ge
0.875 0.900 0.349 Ge
0.330 0.523 0.817 Ge
0.683 0.814 0.821 Ce
0.000 0.500 0.500 Ce
0.317 0.186 0.179 Ce
```


3.
# Sr2PdN2

Sr2PdN2 after structural relaxation (GGA-PBE, the Alexandria database).

As for the space group: I4/mmm, No. 139. Its total DFT energy (no corrections) is -4.5985 eV per atom. The magnetization is 0.0000 μB/atom. The energy relative to the elements, uncorrected comes out at 2.2 eV per formula unit.

```
Sr2PdN2
1.0
-3.052 1.606 -0.864
-0.869 0.198 3.441
1.626 7.986 1.786
N Pd Sr
2 1 2
direct
0.250 0.750 0.500 N
0.750 0.250 0.500 N
0.000 0.000 0.000 Pd
0.361 0.361 0.279 Sr
0.639 0.639 0.721 Sr
```


4.
# ReIrF2

ReIrF2 after structural relaxation (GGA-PBE, the Alexandria database).

As for the space group: R-3m, No. 166. Its total DFT energy (no corrections) is -6.7844 eV per atom. The value obtained for the relative energy among the computed polymorphs is 0.000 eV per atom. The magnetization is 0.2654 μB/atom. The energy relative to the elements, uncorrected comes out at -2.1 eV per formula unit.

```
ReIrF2
1.0
-3.144 4.092 9.180
-1.447 6.038 8.506
-3.964 6.095 7.619
Re Ir F
1 1 2
direct
0.000 0.000 0.000 Re
0.500 0.500 0.500 Ir
0.939 0.939 0.939 F
0.061 0.061 0.061 F
```